Computed, not measured: a geometry-optimized Co2CuRhN structure at the PBE level of DFT.

Total magnetic moment, μB/cell: 3.90
Energy relative to the elements, uncorrected, eV/atom: 0.183
VASP energy, eV for the cell shown: -33.1
Space-group type: No. 123
Energy relative to the lowest polymorph listed for this composition, eV/f.u.: 0.31

Cell: 3.746 3.746 3.961 Å, 90.00 90.00 90.00°
Atoms (fractional coordinates):
Co  0.000  0.500  0.000
Co  0.500  0.000  0.000
Cu  0.000  0.000  0.500
Rh  0.500  0.500  0.500
N  0.000  0.000  0.000

=====

Computed, not measured: a geometry-optimized LaCe2ZnC structure at the PBE level of DFT.

Total magnetic moment, μB/cell: 0.85
VASP energy, eV for the cell shown: -27.8
Space-group type: No. 99
Calculated formation energy, meV/atom: -94

Cell: 4.903 4.903 5.211 Å, 90.00 90.00 90.00°
Atoms (fractional coordinates):
La  0.000  0.000  0.000
Ce  0.000  0.500  0.500
Ce  0.500  0.000  0.500
Zn  0.500  0.500  0.001
C  0.000  0.000  0.500

=====

Computed, not measured: a geometry-optimized Pm3Tm2ScTe6 structure at the PBE level of DFT.

Total magnetic moment, μB/cell: 0.00
Energy relative to the elements, uncorrected, eV/atom: -1.280
VASP energy, eV for the cell shown: -63.7
Space-group type: No. 12

Cell: 9.820 9.820 8.841 Å, 104.73 104.73 25.36°
Atoms (fractional coordinates):
Pm  0.000  0.000  0.000
Pm  0.331  0.331  0.663
Pm  0.669  0.669  0.337
Tm  0.335  0.335  0.168
Tm  0.665  0.665  0.832
Sc  0.000  0.000  0.500
Te  0.160  0.160  0.590
Te  0.170  0.170  0.076
Te  0.498  0.498  0.265
Te  0.502  0.502  0.735
Te  0.830  0.830  0.924
Te  0.840  0.840  0.410

=====

Computed, not measured: a geometry-optimized Pm4Y7In structure at the PBE level of DFT.

Total magnetic moment, μB/cell: 0.00
VASP energy, eV for the cell shown: -65.5
Space-group type: No. 12
Calculated formation energy, meV/atom: 124
Energy relative to the lowest polymorph listed for this composition, eV/f.u.: 0.00

Cell: 8.638 8.638 9.330 Å, 114.55 114.55 40.22°
Atoms (fractional coordinates):
Pm  0.099  0.099  0.485
Pm  0.231  0.231  0.274
Pm  0.769  0.769  0.726
Pm  0.901  0.901  0.515
Y  0.000  0.000  0.000
Y  0.216  0.216  0.896
Y  0.340  0.340  0.667
Y  0.435  0.435  0.276
Y  0.565  0.565  0.724
Y  0.660  0.660  0.333
Y  0.784  0.784  0.104
In  0.500  0.500  0.000

=====

Computed, not measured: a geometry-optimized TaZn5 structure at the PBE level of DFT.

Total magnetic moment, μB/cell: 0.00
VASP energy, eV for the cell shown: -18.1
Space-group type: No. 65
Calculated formation energy, meV/atom: 15

Cell: 6.066 6.066 4.032 Å, 90.00 90.00 142.35°
Atoms (fractional coordinates):
Ta  0.000  0.000  0.000
Zn  0.164  0.836  0.500
Zn  0.324  0.676  0.000
Zn  0.500  0.500  0.500
Zn  0.676  0.324  0.000
Zn  0.836  0.164  0.500

=====

Computed, not measured: a geometry-optimized BeRu structure at the PBE level of DFT.

Total magnetic moment, μB/cell: 0.00
VASP energy, eV for the cell shown: -50.9
Space-group type: No. 87
Calculated formation energy, meV/atom: 138

Cell: 5.140 5.140 5.140 Å, 100.16 100.16 130.34°
Atoms (fractional coordinates):
Be  0.088  0.218  0.306
Be  0.218  0.912  0.130
Be  0.782  0.088  0.870
Be  0.912  0.782  0.694
Ru  0.187  0.576  0.763
Ru  0.424  0.187  0.611
Ru  0.576  0.813  0.389
Ru  0.813  0.424  0.237

=====

Computed, not measured: a geometry-optimized CsSeS3 structure at the PBE level of DFT.

Total magnetic moment, μB/cell: 0.00
Energy relative to the elements, uncorrected, eV/atom: -0.278
VASP energy, eV for the cell shown: -36.2
Space-group type: No. 11
Energy relative to the lowest polymorph listed for this composition, eV/f.u.: 0.32

Cell: 4.956 9.111 8.640 Å, 90.00 106.12 90.00°
Atoms (fractional coordinates):
Cs  0.239  0.250  0.233
Cs  0.761  0.750  0.767
Se  0.313  0.250  0.712
Se  0.687  0.750  0.288
S  0.104  0.750  0.439
S  0.334  0.023  0.906
S  0.334  0.477  0.906
S  0.666  0.523  0.094
S  0.666  0.977  0.094
S  0.896  0.250  0.561

=====

Computed, not measured: a geometry-optimized Ba6HgRh2I3 structure at the PBE level of DFT.

Total magnetic moment, μB/cell: 0.46
Energy relative to the elements, uncorrected, eV/atom: -0.833
VASP energy, eV for the cell shown: -41.2
Space-group type: No. 12

Cell: 11.265 11.265 10.351 Å, 109.34 109.34 23.84°
Atoms (fractional coordinates):
Ba  0.020  0.020  0.252
Ba  0.320  0.320  0.449
Ba  0.334  0.334  0.876
Ba  0.666  0.666  0.124
Ba  0.680  0.680  0.551
Ba  0.980  0.980  0.748
Hg  0.500  0.500  0.000
Rh  0.164  0.164  0.328
Rh  0.836  0.836  0.672
I  0.164  0.164  0.827
I  0.500  0.500  0.500
I  0.836  0.836  0.173